Entry from OQMD: a geometry-optimized SmDyTe2As2 structure (GGA-PBE).

Cell and atoms, written as POSCAR:
```
SmDyTe2As2
1.0
4.1045 0.0000 0.0000
0.0000 4.1045 0.0000
0.0000 0.0000 9.1561
Sm Dy Te As
1 1 2 2
direct
0.0000 0.0000 0.0000
0.5000 0.5000 0.5077
0.0000 0.0000 0.6250
0.5000 0.5000 0.8749
0.0000 0.5000 0.2570
0.5000 0.0000 0.2570
```

## Properties
**E_tot**: -31.85 eV/cell